[1]
Here is a PBEsol-optimized structure of Ni8Ge2B3 from the Alexandria database. Energies are from SCAN.

Summary:
As for the symmetry: Pmmn, No. 59. The calculation puts the energy relative to the elements at -0.3370 eV per atom.

Lattice parameters (Å, degrees): 2.9128 6.0002 14.4982 90.00 90.00 90.00
With the nearest neighbours (Å) after each atom.
Sites, in units of the cell vectors:
Ni1 0.5000 0.1996 0.7265  3 B 2.14-2.20, 1 Ge 2.37
Ni2 0.0000 0.7028 0.5000  2 B 2.07
Ni3 0.0000 0.8004 0.2265  3 B 2.14-2.20, 1 Ge 2.37
Ni4 0.5000 0.6339 0.6450  3 B 2.08
Ni5 0.0000 0.8004 0.7735  3 B 2.14-2.20, 1 Ge 2.37
Ni6 0.5000 0.6594 0.0866  3 B 2.02-2.05
Ni7 0.0000 0.3406 0.5866  3 B 2.02-2.05
Ni8 0.0000 0.3661 0.8550  3 B 2.08
Ni9 0.5000 0.6594 0.9134  3 B 2.02-2.05
Ni10 0.5000 0.6339 0.3550  3 B 2.08
Ni11 0.0000 0.3661 0.1450  3 B 2.08
Ni12 0.5000 0.0752 0.5000  1 B 2.29, 4 Ge 2.42, 4 Ni 2.50
Ni13 0.0000 0.3406 0.4134  3 B 2.02-2.05
Ni14 0.5000 0.2972 0.0000  2 B 2.07
Ni15 0.0000 0.9248 0.0000  1 B 2.29, 4 Ge 2.42, 4 Ni 2.50
Ni16 0.5000 0.1996 0.2735  3 B 2.14-2.20, 1 Ge 2.37
B1 0.5000 0.5404 0.7828  2 B 1.81
B2 0.0000 0.4596 0.2828  2 B 1.81
B3 0.5000 0.5404 0.2172  2 B 1.81
B4 0.0000 0.5429 0.0000  7 Ni 2.05-2.29
B5 0.0000 0.4596 0.7172  2 B 1.81
B6 0.5000 0.4571 0.5000  7 Ni 2.05-2.29
Ge1 0.5000 0.0375 0.1245  9 Ni 2.33-2.52
Ge2 0.0000 0.9625 0.3755  9 Ni 2.33-2.52
Ge3 0.5000 0.0375 0.8755  9 Ni 2.33-2.52
Ge4 0.0000 0.9625 0.6245  9 Ni 2.33-2.52

[2]
Here is a PBEsol-optimized structure of Tc2NiGeB from the Alexandria database. Energies are from SCAN.

Summary:
As for the symmetry: P4/mmm, No. 123. The calculation puts the energy relative to the elements at 1.7315 eV per atom.

Lattice parameters (Å, degrees): 3.5898 4.5529 4.5529 90.00 90.00 90.00
With the nearest neighbours (Å) after each atom.
Sites, in units of the cell vectors:
Ni1 0.5000 0.5000 0.5000  8 Tc 2.90, 4 B 3.22
Tc1 0.0000 0.5000 0.0000  2 Ge 2.28
Tc2 0.0000 0.0000 0.5000  2 Ge 2.28
Ge1 0.0000 0.0000 0.0000  2 B 1.79
B1 0.5000 0.0000 0.0000  2 Ge 1.79

[3]
Here is a PBEsol-optimized structure of TiNi2GeB from the Alexandria database. Energies are from SCAN.

Summary:
As for the symmetry: P4/mmm, No. 123. The calculation puts the energy relative to the elements at 1.3147 eV per atom.

Lattice parameters (Å, degrees): 4.1573 4.3074 4.3074 90.00 90.00 90.00
With the nearest neighbours (Å) after each atom.
Sites, in units of the cell vectors:
Ti1 0.0000 0.0000 0.0000  2 B 2.08, 4 Ni 2.15
Ni1 0.0000 0.5000 0.0000  2 Ti 2.15
Ni2 0.0000 0.0000 0.5000  2 Ti 2.15
Ge1 0.5000 0.5000 0.5000  8 Ni 2.99, 4 B 3.05
B1 0.5000 0.0000 0.0000  2 Ti 2.08

[4]
Here is a PBEsol-optimized structure of GeB2O from the Alexandria database. Energies are from SCAN.

Summary:
As for the symmetry: Fm-3m, No. 225. The value obtained for the energy relative to the elements, uncorrected is 6.90 eV per formula unit.

Lattice parameters (Å, degrees): 3.7897 3.7897 3.7897 60.00 60.00 60.00
With the nearest neighbours (Å) after each atom.
Sites, in units of the cell vectors:
O1 0.0000 0.0000 0.0000  8 B 2.32
Ge1 0.5000 0.5000 0.5000  8 B 2.32
B1 0.7500 0.7500 0.7500  4 Ge 2.32, 4 O 2.32
B2 0.2500 0.2500 0.2500  4 O 2.32, 4 Ge 2.32

[5]
Here is a PBEsol-optimized structure of GeBP2O from the Alexandria database. Energies are from SCAN.

Summary:
As for the symmetry: P4/mmm, No. 123. The value obtained for the energy relative to the elements, uncorrected is 5.87 eV per formula unit.

Lattice parameters (Å, degrees): 3.4744 4.7147 4.7147 90.00 90.00 90.00
With the nearest neighbours (Å) after each atom.
Sites, in units of the cell vectors:
P1 0.0000 0.0000 0.5000  2 Ge 2.36
P2 0.0000 0.5000 0.0000  2 Ge 2.36
B1 0.5000 0.5000 0.5000  8 P 2.93
Ge1 0.0000 0.0000 0.0000  2 O 1.74
O1 0.5000 0.0000 0.0000  2 Ge 1.74

[6]
Here is a PBEsol-optimized structure of Rb2GeB4O9 from the Alexandria database. Energies are from SCAN.

Summary:
As for the symmetry: P2_1, No. 4. The value obtained for the energy relative to the elements, uncorrected is -39.24 eV per formula unit.

Lattice parameters (Å, degrees): 6.6340 9.8792 13.3054 90.00 90.31 90.00
With the nearest neighbours (Å) after each atom.
Sites, in units of the cell vectors:
O1 0.0245 0.5873 0.3301  2 B 1.37-1.51
O2 0.4376 0.9366 0.2047  1 B 1.45
O3 0.9162 0.4389 0.4630  1 B 1.39
O4 0.0838 0.9389 0.5370  1 B 1.39
O5 0.4744 0.6080 0.9174  2 B 1.37-1.49
O6 0.8104 0.0801 0.5075  2 B 1.37-1.50
O7 0.4114 0.7549 0.0483  1 B 1.38
O8 0.4797 0.0934 0.5809  2 B 1.37-1.51
O9 0.9930 0.6086 0.8227  2 B 1.37-1.51
O10 0.2319 0.4346 0.8731  2 B 1.45
O11 0.5798 0.2586 0.4590  1 B 1.47
O12 0.5203 0.5934 0.4191  2 B 1.37-1.51
O13 0.5886 0.2549 0.9517  1 B 1.38
O14 0.8593 0.1124 0.0102  2 B 1.37-1.51
O15 0.1087 0.7560 0.2116  1 B 1.45
O16 0.4202 0.7585 0.5410  1 B 1.47
O17 0.8997 0.4437 0.9497  1 B 1.46
O18 0.7319 0.2601 0.6249  2 B 1.44-1.45
O19 0.6202 0.4338 0.2925  1 B 1.40
O20 0.7681 0.9346 0.1269  2 B 1.45
O21 0.6435 0.0830 0.7439  2 B 1.37-1.51
O22 0.5624 0.4366 0.7953  1 B 1.45
O23 0.3798 0.9338 0.7075  1 B 1.40
O24 0.0070 0.1086 0.1773  2 B 1.37-1.51
O25 0.0654 0.7461 0.6844  1 B 1.40
O26 0.5256 0.1080 0.0826  2 B 1.37-1.49
O27 0.1003 0.9437 0.0503  1 B 1.46
O28 0.9346 0.2461 0.3156  1 B 1.40
O29 0.1896 0.5801 0.4925  2 B 1.37-1.50
O30 0.9755 0.0873 0.6699  2 B 1.37-1.51
O31 0.3565 0.5830 0.2561  2 B 1.37-1.51
O32 0.8913 0.2560 0.7884  1 B 1.45
O33 0.1407 0.6124 0.9898  2 B 1.37-1.51
O34 0.2681 0.7601 0.3751  2 B 1.44-1.45
O35 0.3269 0.6049 0.7509  2 B 1.37-1.52
O36 0.6731 0.1049 0.2491  2 B 1.37-1.52
Rb1 0.2599 0.3435 0.1183  5 O 2.96-3.25
Rb2 0.2174 0.1287 0.8820  5 O 2.79-3.03
Rb3 0.2241 0.3459 0.6347  8 O 3.00-3.29
Rb4 0.7759 0.8459 0.3653  8 O 3.00-3.29
Rb5 0.7826 0.6287 0.1180  5 O 2.79-3.03
Rb6 0.7401 0.8435 0.8817  5 O 2.96-3.25
Rb7 0.2975 0.0658 0.3742  6 O 2.76-3.03
Rb8 0.7025 0.5658 0.6258  6 O 2.76-3.03
B1 0.3986 0.5160 0.8369  4 O 1.45-1.52
B2 0.6639 0.1567 0.0158  3 O 1.37-1.38
B3 0.6544 0.1777 0.5443  4 O 1.44-1.51
B4 0.3456 0.6777 0.4557  4 O 1.44-1.51
B5 0.1938 0.6769 0.2935  4 O 1.45-1.51
B6 0.1331 0.6512 0.7546  3 O 1.37-1.40
B7 0.8669 0.1512 0.2454  3 O 1.37-1.40
B8 0.6014 0.0160 0.1631  4 O 1.45-1.52
B9 0.9320 0.0194 0.0926  4 O 1.45-1.51
B10 0.4960 0.5392 0.3246  3 O 1.37-1.40
B11 0.8062 0.1769 0.7065  4 O 1.45-1.51
B12 0.5040 0.0392 0.6754  3 O 1.37-1.40
B13 0.0680 0.5194 0.9074  4 O 1.45-1.51
B14 0.9543 0.0376 0.5745  3 O 1.37-1.39
B15 0.0457 0.5376 0.4255  3 O 1.37-1.39
B16 0.3361 0.6567 0.9842  3 O 1.37-1.38
Ge1 0.7407 0.3520 0.8690  4 O 1.75-1.78
Ge2 0.2593 0.8520 0.1310  4 O 1.75-1.78
Ge3 0.7565 0.3415 0.3846  4 O 1.74-1.77
Ge4 0.2435 0.8415 0.6154  4 O 1.74-1.77

| no. | electronic total energy (eV per atom) |
| --- | --- |
| 1 | -14.941 |
| 2 | -20.831 |
| 3 | -13.664 |
| 4 | -8.320 |
| 5 | -9.535 |
| 6 | -11.600 |